Below is a relaxed Li2BiSbS4 crystal, with properties calculated at the PBE level.

Unit cell a=6.7032 b=3.9406 c=6.8194 alpha=90.00 beta=109.80 gamma=90.00
Atoms (fractional coordinates):
Li 0.0000 0.0000 0.0000
Li 0.0000 0.5000 0.5000
Bi 0.5000 0.0000 0.5000
Sb 0.5000 0.5000 0.0000
S 0.2381 0.5000 0.2405
S 0.2413 0.0000 0.7529
S 0.7587 0.0000 0.2471
S 0.7619 0.5000 0.7595

Results
V (Å³/cell): 169
M_tot (Bohr magnetons per cell): 0.00
Total energy (eV/cell): -33.9
Formation energy (no corrections) (eV/atom): -0.6938

---

Below is a relaxed Li2ScBiS crystal, with properties calculated at the PBE level.

Unit cell a=4.5531 b=4.5531 c=5.0385 alpha=90.00 beta=90.00 gamma=90.00
Atoms (fractional coordinates):
Li 0.0000 0.5000 0.0000
Li 0.5000 0.0000 0.0000
Sc 0.0000 0.0000 0.5000
Bi 0.5000 0.5000 0.5000
S 0.0000 0.0000 0.0000

Results
V (Å³/cell): 104
M_tot (Bohr magnetons per cell): 0.00
Total energy (eV/cell): -23.1
Formation energy (no corrections) (eV/atom): -0.9891

---

Below is a relaxed Li4Sc3BiS8 crystal, with properties calculated at the PBE level.

Unit cell a=7.5311 b=7.5311 c=7.5311 alpha=60.33 beta=60.33 gamma=60.33
Atoms (fractional coordinates):
Li 0.0000 0.0000 0.0000
Li 0.0000 0.5000 0.5000
Li 0.5000 0.0000 0.5000
Li 0.5000 0.5000 0.0000
Sc 0.0000 0.0000 0.5000
Sc 0.0000 0.5000 0.0000
Sc 0.5000 0.0000 0.0000
Bi 0.5000 0.5000 0.5000
S 0.2313 0.7576 0.7576
S 0.2424 0.2424 0.7687
S 0.2424 0.7687 0.2424
S 0.2459 0.2459 0.2459
S 0.7541 0.7541 0.7541
S 0.7576 0.2313 0.7576
S 0.7576 0.7576 0.2313
S 0.7687 0.2424 0.2424

Results
V (Å³/cell): 304
M_tot (Bohr magnetons per cell): 0.00
Total energy (eV/cell): -87.4
Formation energy (no corrections) (eV/atom): -1.4936

---

Below is a relaxed LiBiSeS crystal, with properties calculated at the PBE level.

Unit cell a=13.9795 b=13.9795 c=13.9795 alpha=17.10 beta=17.10 gamma=17.10
Atoms (fractional coordinates):
Li 0.1885 0.1885 0.1885
Li 0.8115 0.8115 0.8115
Bi 0.4091 0.4091 0.4091
Bi 0.5909 0.5909 0.5909
Se 0.1246 0.1246 0.1246
Se 0.8754 0.8754 0.8754
S 0.2904 0.2904 0.2904
S 0.7096 0.7096 0.7096

Results
V (Å³/cell): 206
M_tot (Bohr magnetons per cell): 0.00
Total energy (eV/cell): -32.2
Formation energy (no corrections) (eV/atom): -0.6749